Version A
First-principles (PBE) data for crystalline PmPr2Cu3 at its relaxed geometry, as listed in Alexandria.

Summary:
* magnetization: 0.00 Bohr magnetons per cell
* SG: Cmmm (65)

Cell lengths 8.0259, 8.0259, 7.2767 Å; angles 90.00, 90.00, 143.11 degrees
Fractional positions:
Pr1 0.0000 0.0000 0.5000
Pr2 0.6663 0.3337 0.5000
Pr3 0.3337 0.6663 0.5000
Pr4 0.0000 0.0000 0.0000
Cu1 0.5000 0.5000 0.2444
Cu2 0.1686 0.8314 0.2429
Cu3 0.1686 0.8314 0.7571
Cu4 0.8314 0.1686 0.2429
Cu5 0.5000 0.5000 0.7556
Cu6 0.8314 0.1686 0.7571
Pm1 0.3329 0.6671 0.0000
Pm2 0.6671 0.3329 0.0000

Version B
First-principles (PBE) data for crystalline PmPr2Cu3 at its relaxed geometry, as listed in Alexandria.

Summary:
* magnetization: 0.00 Bohr magnetons per cell
* SG: P4/mmm (123)

Cell lengths 3.5904, 3.5904, 10.8770 Å; angles 90.00, 90.00, 90.00 degrees
Fractional positions:
Cu1 0.0000 0.0000 0.0000
Cu2 0.0000 0.0000 0.6600
Cu3 0.0000 0.0000 0.3400
Pm1 0.5000 0.5000 0.5000
Pr1 0.5000 0.5000 0.8316
Pr2 0.5000 0.5000 0.1684

The relative energies come out as version A 0.005; version B 0.000, with values in eV/atom.